Density functional theory data (PBE-GGA) for PaBIrOs2 after structural relaxation.

Cell lengths 4.2142, 4.2579, 4.2579 Å; angles 90.00, 90.00, 90.00 degrees
With the nearest neighbours (Å) after each atom.
Element x y z (fractional)
Ir  0.5000  0.0000  0.0000  2 B 2.11
B  0.0000  0.0000  0.0000  2 Ir 2.11, 4 Os 2.13
Os  0.0000  0.0000  0.5000  2 B 2.13
Pa  0.5000  0.5000  0.5000  8 Os 3.00, 4 Ir 3.01
Os  0.0000  0.5000  0.0000  2 B 2.13

Results
**Total magnetization**: 0.000 Bohr magnetons per cell
**ρ**: 17.70 g cm⁻³
**N(E_F)**: 3.054 states/eV/cell
**Raw total energy**: -9.92 eV/atom

***

Density functional theory data (PBE-GGA) for CrHg2Cl after structural relaxation.

Cell lengths 3.5272, 3.5279, 9.5096 Å; angles 90.29, 90.06, 120.01 degrees
With the nearest neighbours (Å) after each atom.
Element x y z (fractional)
Cl  0.3972  0.5509  0.9600  3 Cr 2.51
Hg  0.0686  0.8916  0.3240  3 Cr 2.85, 1 Hg 2.94
Hg  0.0756  0.9013  0.6332  1 Hg 2.94
Cr  0.7327  0.2205  0.1142  3 Cl 2.51

Results
**Total magnetization**: 4.407 Bohr magnetons per cell
**ρ**: 7.92 g cm⁻³
**N(E_F)**: 3.971 states/eV/cell
**Raw total energy**: -3.10 eV/atom

***

Density functional theory data (PBE-GGA) for CaLaIr2 after structural relaxation.

Cell lengths 6.4318, 6.4318, 6.4318 Å; angles 151.60, 135.32, 53.79 degrees
With the nearest neighbours (Å) after each atom.
Element x y z (fractional)
Ir  0.7796  0.2796  0.5000  2 Ir 2.64
Ca  0.2288  0.7288  0.5000  4 Ir 2.97, 2 Ca 3.16
Ir  0.9643  0.9643  0.0000  2 Ir 2.64
La  0.5273  0.5273  0.0000  6 Ir 3.00-3.30, 2 La 3.16

Results
**Total magnetization**: 0.000 Bohr magnetons per cell
**ρ**: 10.57 g cm⁻³
**N(E_F)**: 2.366 states/eV/cell
**Raw total energy**: -6.45 eV/atom

***

> raw total energy of number 2 (CrHg2Cl)?

-3.10 eV/atom

***

> Among the records above, which one has the lowest N(E_F)?

CaLaIr2